VASP calculation (PBE) on a relaxed structure of Ac3ZnOs.

a = 5.791 Å, b = 5.791 Å, c = 5.791 Å
α = 90.00°, β = 90.00°, γ = 90.00°
Element x y z (fractional)
1 Ac 0.000 0.500 0.000
2 Ac 0.000 0.000 0.500
3 Ac 0.500 0.000 0.000
4 Os 0.000 0.000 0.000
5 Zn 0.500 0.500 0.500

Summary:
Formation energy from the elements = 0.09 eV/atom
ΔE to the lowest computed polymorph = 0.157 eV/atom

VASP calculation (PBE) on a relaxed structure of AcZnOs.

a = 4.374 Å, b = 5.829 Å, c = 6.539 Å
α = 74.22°, β = 70.45°, γ = 89.96°
Element x y z (fractional)
1 Ac 0.388 0.691 0.724
2 Ac 0.612 0.309 0.276
3 Zn 0.096 0.722 0.309
4 Zn 0.904 0.278 0.691
5 Os 0.721 0.908 0.058
6 Os 0.279 0.092 0.942

Summary:
Formation energy from the elements = -0.08 eV/atom

| no. | total DFT energy (no corrections) (eV for the cell shown) | D(E_F) (states/eV/cell) |
| --- | --- | --- |
| 1 | -24.39 | 4.06 |
| 2 | -33.69 | 3.86 |